Computed, not measured: a relaxed structure of YAgWO5 at the PBE with a Hubbard U level of DFT.

Calculated values
The space group is C2/c (15). Its spin magnetization is 0.00 μB per atom. As for the electronic total energy: -115.3 eV for the cell shown. The calculation puts the calculated density at 5.2 g cm⁻³.

a b c (Å): 6.3223 6.3223 8.4740
angles (deg): 109.28 109.28 93.00
Sites, in units of the cell vectors:
Y  0.0000  0.0000  0.5000
Ag  0.2950  0.7050  0.2500
W  0.6378  0.3622  0.2500
O  0.0616  0.9384  0.2500
W  0.3622  0.6378  0.7500
Y  0.0000  0.0000  0.0000
Ag  0.7050  0.2950  0.7500
O  0.2398  0.7470  0.9195
O  0.7602  0.2530  0.0805
O  0.9384  0.0616  0.7500
O  0.6724  0.7151  0.8522
O  0.7151  0.6724  0.3522
O  0.7470  0.2398  0.4195
O  0.3276  0.2849  0.1478
O  0.2530  0.7602  0.5805
O  0.2849  0.3276  0.6478



Computed, not measured: a relaxed structure of YAg2WO at the PBE with a Hubbard U level of DFT.

Calculated values
The space group is P4/mmm (123). Its spin magnetization is 0.40 μB per atom. As for the electronic total energy: -24.6 eV for the cell shown. The calculation puts the calculated density at 7.3 g cm⁻³.

a b c (Å): 5.4827 3.8236 5.4827
angles (deg): 90.00 90.00 90.00
Last column: magnetic moment on the atom in μB.
Sites, in units of the cell vectors:
Y  0.5000  0.5000  0.5000  -0.17
W  0.0000  0.0000  0.0000  2.22
Ag  0.0000  0.0000  0.5000  0.03
O  0.0000  0.5000  0.0000  -0.18
Ag  0.5000  0.0000  0.0000  0.03



Computed, not measured: a relaxed structure of Zn2AgWO6 at the PBE with a Hubbard U level of DFT.

Calculated values
The space group is C2/m (12). Its spin magnetization is 0.10 μB per atom. As for the electronic total energy: -55.5 eV for the cell shown. Its energy above the most stable polymorph in this dataset is 0.0 kJ per mole of atoms. The calculation puts the calculated density at 6.7 g cm⁻³.

a b c (Å): 5.0904 5.5016 5.8735
angles (deg): 117.89 114.16 90.00
Last column: magnetic moment on the atom in μB.
Sites, in units of the cell vectors:
Zn  0.3505  0.7687  0.5200  0.01
O  0.7031  0.1650  0.8123  0.11
O  0.7024  0.6659  0.8122  0.11
O  0.3338  0.3668  0.2172  0.11
Ag  0.5181  0.5164  0.0147  0.37
W  0.0181  0.0164  0.0147  -0.01
O  0.0918  0.8550  0.6921  0.05
O  0.9445  0.1777  0.3373  0.05
O  0.3331  0.8677  0.2171  0.11
Zn  0.6857  0.2640  0.5095  0.01